First-principles (PBE-GGA) data for CsMgPb3 after structural relaxation, as listed in Alexandria via LeMat-Bulk.

Output
* ΔE_f: 127.2 meV per atom
* DOS(E_F): 2.89 states/eV/cell
* SG: Pm-3m, No. 221
* VASP energy: -0.190 Ry/atom
* total magnetization: 0.0 μB/cell
* excess energy over the best structure of this formula in the dataset: 0.230 eV/atom

a = 5.766 Å, b = 5.766 Å, c = 5.766 Å
α = 90.00°, β = 90.00°, γ = 90.00°
Sites, in units of the cell vectors:
Pb 0.000 0.500 0.000
Pb 0.000 0.000 0.500
Pb 0.500 0.000 0.000
Cs 0.500 0.500 0.500
Mg 0.000 0.000 0.000


First-principles (PBE-GGA) data for CsMg4Pb8 after structural relaxation, as listed in Alexandria via LeMat-Bulk.

Output
* ΔE_f: -55.1 meV per atom
* DOS(E_F): 6.91 states/eV/cell
* SG: I4/mmm, No. 139
* VASP energy: -0.213 Ry/atom
* total magnetization: 0.0 μB/cell

a = 6.364 Å, b = 8.501 Å, c = 8.501 Å
α = 81.94°, β = 68.02°, γ = 68.02°
Sites, in units of the cell vectors:
Cs 0.000 0.000 0.000
Mg 0.000 0.000 0.500
Mg 0.500 0.000 0.500
Mg 0.000 0.500 0.000
Mg 0.500 0.500 0.000
Pb 0.000 0.349 0.651
Pb 0.000 0.651 0.349
Pb 0.349 0.651 0.651
Pb 0.651 0.349 0.349
Pb 0.500 0.779 0.221
Pb 0.500 0.221 0.779
Pb 0.279 0.221 0.221
Pb 0.721 0.779 0.779


First-principles (PBE-GGA) data for CsMg3Pb3 after structural relaxation, as listed in Alexandria via LeMat-Bulk.

Output
* ΔE_f: -89.8 meV per atom
* DOS(E_F): 6.08 states/eV/cell
* SG: P2_1/m, No. 11
* VASP energy: -0.183 Ry/atom
* total magnetization: 0.0 μB/cell

a = 5.613 Å, b = 10.698 Å, c = 9.883 Å
α = 130.96°, β = 90.00°, γ = 90.00°
Sites, in units of the cell vectors:
Cs 0.750 0.424 0.804
Cs 0.250 0.576 0.196
Mg 0.750 0.879 0.922
Mg 0.750 0.212 0.317
Mg 0.750 0.911 0.598
Mg 0.250 0.121 0.078
Mg 0.250 0.788 0.683
Mg 0.250 0.089 0.402
Pb 0.750 0.910 0.280
Pb 0.750 0.225 0.019
Pb 0.750 0.577 0.505
Pb 0.250 0.090 0.720
Pb 0.250 0.775 0.981
Pb 0.250 0.423 0.495


First-principles (PBE-GGA) data for CsMg6Pb12 after structural relaxation, as listed in Alexandria via LeMat-Bulk.

Output
* ΔE_f: -13.3 meV per atom
* DOS(E_F): 7.47 states/eV/cell
* SG: R-3m, No. 166
* VASP energy: -0.213 Ry/atom
* total magnetization: 0.0 μB/cell

a = 8.818 Å, b = 8.818 Å, c = 8.818 Å
α = 105.40°, β = 105.40°, γ = 105.40°
Sites, in units of the cell vectors:
Cs 0.000 0.000 0.000
Mg 0.719 0.271 0.271
Mg 0.271 0.271 0.719
Mg 0.271 0.719 0.271
Mg 0.729 0.729 0.281
Mg 0.281 0.729 0.729
Mg 0.729 0.281 0.729
Pb 0.885 0.115 0.500
Pb 0.830 0.584 0.584
Pb 0.584 0.584 0.830
Pb 0.416 0.170 0.416
Pb 0.416 0.416 0.170
Pb 0.170 0.416 0.416
Pb 0.115 0.500 0.885
Pb 0.500 0.885 0.115
Pb 0.115 0.885 0.500
Pb 0.885 0.500 0.115
Pb 0.500 0.115 0.885
Pb 0.584 0.830 0.584


First-principles (PBE-GGA) data for CsMgPb2 after structural relaxation, as listed in Alexandria via LeMat-Bulk.

Output
* ΔE_f: -58.2 meV per atom
* DOS(E_F): 2.95 states/eV/cell
* SG: R3m, No. 160
* VASP energy: -0.186 Ry/atom
* total magnetization: 0.0 μB/cell

a = 5.050 Å, b = 5.050 Å, c = 8.165 Å
α = 71.99°, β = 71.99°, γ = 60.00°
Sites, in units of the cell vectors:
Cs 0.494 0.494 0.517
Mg 0.676 0.676 0.972
Pb 0.039 0.039 0.884
Pb 0.291 0.291 0.126


First-principles (PBE-GGA) data for CsMgPb3 after structural relaxation, as listed in Alexandria via LeMat-Bulk.

Output
* ΔE_f: -103.3 meV per atom
* DOS(E_F): 3.32 states/eV/cell
* SG: Cm, No. 8
* VASP energy: -0.207 Ry/atom
* total magnetization: 0.0 μB/cell
* excess energy over the best structure of this formula in the dataset: 0.000 eV/atom

a = 5.367 Å, b = 5.374 Å, c = 7.387 Å
α = 68.66°, β = 68.72°, γ = 89.99°
Sites, in units of the cell vectors:
Cs 0.399 0.202 0.908
Mg 0.028 0.833 0.646
Pb 0.646 0.950 0.413
Pb 0.147 0.449 0.413
Pb 0.788 0.591 0.131


Among the records above, which one has the lowest DOS(E_F)?
number 1


Repeat the third record exactly.
First-principles (PBE-GGA) data for CsMg3Pb3 after structural relaxation, as listed in Alexandria via LeMat-Bulk.

Output
* ΔE_f: -89.8 meV per atom
* DOS(E_F): 6.08 states/eV/cell
* SG: P2_1/m, No. 11
* VASP energy: -0.183 Ry/atom
* total magnetization: 0.0 μB/cell

a = 5.613 Å, b = 10.698 Å, c = 9.883 Å
α = 130.96°, β = 90.00°, γ = 90.00°
Sites, in units of the cell vectors:
Cs 0.750 0.424 0.804
Cs 0.250 0.576 0.196
Mg 0.750 0.879 0.922
Mg 0.750 0.212 0.317
Mg 0.750 0.911 0.598
Mg 0.250 0.121 0.078
Mg 0.250 0.788 0.683
Mg 0.250 0.089 0.402
Pb 0.750 0.910 0.280
Pb 0.750 0.225 0.019
Pb 0.750 0.577 0.505
Pb 0.250 0.090 0.720
Pb 0.250 0.775 0.981
Pb 0.250 0.423 0.495


Which value of DOS(E_F) does entry 4 give?
7.47 states/eV/cell